The following is a DFT calculation (PBE) of crystalline KRhW2 at its relaxed geometry.

Space-group type ... No. 35
Mass density ... 11.2 g/cm³
Total DFT energy (no corrections) ... -0.58555 Ry per atom
Total moment ... 0.00 μB/f.u.
Relative energy among the computed polymorphs ... 0.000 eV/atom
Energy relative to the elements ... 622 meV per atom

a = 2.8252 Å, b = 2.8252 Å, c = 10.0142 Å
α = 90.00°, β = 90.00°, γ = 108.48°
Closest atoms and distances in Å follow each position.
Atoms (fractional coordinates):
K1 0.0000 0.0000 0.5164  4 K 2.83
Rh1 0.5000 0.5000 0.7919  2 W 2.59, 4 Rh 2.83
W1 0.0000 0.0000 0.9912  2 Rh 2.59, 6 W 2.67-2.83
W2 0.5000 0.5000 0.2005  6 W 2.67-2.83